(1)
A geometry-optimized RbPH structure. Source: Alexandria, functional PBE.

## Properties
SG = P1
Excess energy over the best structure of this formula in the dataset = 0.0 kJ per mole of atoms

Cell and atoms, written as POSCAR:
```
RbPH
1.0
5.284 0.000 0.000
2.550 5.737 0.000
2.369 -1.025 5.771
Rb P H
2 2 2
Direct
0.000 0.000 0.000 Rb
0.026 0.516 0.453 Rb
0.383 0.892 0.356 P
0.684 0.610 0.050 P
0.383 0.759 0.545 H
0.482 0.529 0.007 H
```

---

(2)
A geometry-optimized Li2ScCd2In2 structure. Source: Alexandria, functional PBE.

## Properties
SG = R-3m
DFT formation energy = -0.25 eV/atom

Cell and atoms, written as POSCAR:
```
Li2ScCd2In2
1.0
2.401 1.386 7.333
-2.401 1.386 7.333
0.000 -2.772 7.333
Li Sc Cd In
2 1 2 2
Direct
0.142 0.142 0.142 Li
0.858 0.858 0.858 Li
0.000 0.000 0.000 Sc
0.431 0.431 0.431 Cd
0.569 0.569 0.569 Cd
0.275 0.275 0.275 In
0.725 0.725 0.725 In
```

---

(3)
A geometry-optimized Dy2HoAg3 structure. Source: Alexandria, functional PBE.

## Properties
SG = P4/mmm
DFT formation energy = -0.33 eV/atom

Cell and atoms, written as POSCAR:
```
Dy2HoAg3
1.0
3.615 0.000 0.000
0.000 3.615 0.000
0.000 0.000 10.973
Dy Ho Ag
2 1 3
Direct
0.000 0.000 0.167 Dy
0.000 0.000 0.833 Dy
0.000 0.000 0.500 Ho
0.500 0.500 0.000 Ag
0.500 0.500 0.335 Ag
0.500 0.500 0.665 Ag
```

---

(4)
A geometry-optimized TmPaZnHg structure. Source: Alexandria, functional PBE.

## Properties
SG = F-43m
DFT formation energy = -0.01 eV/atom

Cell and atoms, written as POSCAR:
```
TmPaZnHg
1.0
0.000 3.635 3.635
3.635 0.000 3.635
3.635 3.635 0.000
Tm Pa Zn Hg
1 1 1 1
Direct
0.000 0.000 0.000 Tm
0.500 0.500 0.500 Pa
0.250 0.250 0.250 Zn
0.750 0.750 0.750 Hg
```

---

no.,ρ (g/cm³),M_tot (μB/f.u.)
1,2.2,0.0
2,5.8,0.0
3,9.4,0.0
4,11.5,1.6